1.
A PBEsol-optimized structure of FeNiIr2, computed with SCAN.

Output
magnetization: 3.630 μB per formula unit
raw total energy: -44.20 eV/atom
ρ: 16.63 g cm⁻³
ΔE to the lowest computed polymorph: 54 meV/atom
crystal system: monoclinic
energy of formation: -0.08 eV per atom

Unit cell a=8.6714 b=2.6531 c=4.4068 alpha=90.00 beta=100.56 gamma=90.00
Closest atoms and distances in Å follow each position.
Space group Cm (No. 8)
Asymmetric unit:
1 Fe 0.0000 0.0000 0.0000 [2 per cell]  7 Ir 2.55-2.62, 3 Ni 2.58-2.59, 2 Fe 2.65
2 Ni 0.2482 0.5000 0.2372 [2 per cell]  7 Ir 2.55-2.63, 3 Fe 2.58-2.59, 2 Ni 2.65
3 Ir 0.9999 0.5000 0.4934 [2 per cell]  4 Fe 2.55-2.60, 5 Ir 2.60-2.65, 3 Ni 2.61-2.63
4 Ir 0.2504 0.0000 0.7445 [2 per cell]  4 Ni 2.55-2.60, 5 Ir 2.60-2.65, 3 Fe 2.61-2.62

2.
A PBEsol-optimized structure of IrPbCl3, computed with SCAN.

Output
magnetization: 3.799 μB per formula unit
raw total energy: -33.61 eV/atom
ρ: 5.30 g cm⁻³
ΔE to the lowest computed polymorph: 678 meV/atom
crystal system: cubic
formation energy without anion corrections: 0.549 eV/atom

Unit cell a=5.4107 b=5.4107 c=5.4107 alpha=90.00 beta=90.00 gamma=90.00
Closest atoms and distances in Å follow each position.
Space group Pm-3m (No. 221)
Asymmetric unit:
1 Ir 0.0000 0.0000 0.0000 [1 per cell]  12 Cl 3.83
2 Pb 0.5000 0.5000 0.5000 [1 per cell]  6 Cl 2.71
3 Cl 0.0000 0.5000 0.5000 [3 per cell]  2 Pb 2.71

3.
A PBEsol-optimized structure of Zr2Ge2W, computed with SCAN.

Output
magnetization: 0.000 μB per formula unit
raw total energy: -34.53 eV/atom
ρ: 9.79 g cm⁻³
crystal system: tetragonal
energy of formation: -0.68 eV per atom

Unit cell a=6.7765 b=6.7765 c=3.7809 alpha=90.00 beta=90.00 gamma=90.00
Closest atoms and distances in Å follow each position.
Space group P4/mbm (No. 127)
Asymmetric unit:
1 Zr 0.1728 0.3272 0.0000 [4 per cell]  6 Ge 2.66-2.81
2 Ge 0.1322 0.6322 0.5000 [4 per cell]  1 Ge 2.53, 2 W 2.65, 6 Zr 2.66-2.81
3 W 0.0000 0.0000 0.5000 [2 per cell]  4 Ge 2.65

4.
A PBEsol-optimized structure of AlGaCl2, computed with SCAN.

Output
magnetization: 0.000 μB per formula unit
raw total energy: -10.37 eV/atom
ρ: 3.28 g cm⁻³
crystal system: trigonal
formation energy without anion corrections: -0.353 eV/atom

Unit cell a=3.3020 b=3.3020 c=26.9339 alpha=90.00 beta=90.00 gamma=120.00
Closest atoms and distances in Å follow each position.
Space group R-3m (No. 166, hexagonal axes)
Asymmetric unit:
1 Al 0.0000 0.0000 0.0000 [3 per cell]  6 Cl 2.67
2 Ga 0.0000 0.0000 0.5000 [3 per cell]  2 Cl 2.62
3 Cl 0.0000 0.0000 0.4026 [6 per cell]  1 Ga 2.62, 3 Al 2.67

5.
A PBEsol-optimized structure of LiSi2Sb, computed with SCAN.

Output
magnetization: 0.000 μB per formula unit
raw total energy: -14.33 eV/atom
ρ: 3.08 g cm⁻³
crystal system: tetragonal
formation energy without anion corrections: 0.593 eV/atom

Unit cell a=6.3057 b=6.3057 c=10.0198 alpha=90.00 beta=90.00 gamma=90.00
Closest atoms and distances in Å follow each position.
Space group I-42d (No. 122)
Asymmetric unit:
1 Li 0.0000 0.0000 0.0000 [4 per cell]  4 Si 2.52
2 Si 0.2403 0.2500 0.1250 [8 per cell]  2 Li 2.52, 2 Sb 2.60
3 Sb 0.0000 0.0000 0.5000 [4 per cell]  4 Si 2.60

6.
A PBEsol-optimized structure of RbFe2Se, computed with SCAN.

Output
magnetization: 5.507 μB per formula unit
raw total energy: -18.14 eV/atom
ρ: 6.83 g cm⁻³
crystal system: cubic
formation energy without anion corrections: 1.131 eV/atom

Unit cell a=6.4526 b=6.4526 c=6.4526 alpha=90.00 beta=90.00 gamma=90.00
Closest atoms and distances in Å follow each position.
Space group Fm-3m (No. 225)
Asymmetric unit:
1 Rb 0.0000 0.0000 0.0000 [4 per cell]  8 Fe 2.79
2 Fe 0.2500 0.2500 0.2500 [8 per cell]  4 Se 2.79, 4 Rb 2.79
3 Se 0.0000 0.0000 0.5000 [4 per cell]  8 Fe 2.79